Crystalline SrHgB2 at its relaxed geometry, computed with PBE.

ΔE to the lowest computed polymorph, eV/f.u.: 0.00
Final energy, eV per cell: -24.65
Calculated formation energy, eV per atom: 0.7538
M_tot, μB/cell: 0.0

Lattice parameters (Å, degrees): 8.406 8.406 8.406 149.25 149.25 44.05
Positions (direct):
Sr 0.375 0.625 0.750
Sr 0.625 0.375 0.250
Hg 0.125 0.875 0.250
Hg 0.875 0.125 0.750
B 0.000 0.000 0.000
B 0.000 0.000 0.500
B 0.000 0.500 0.000
B 0.500 0.000 0.500